Record 1
# SCAN ReHgSb2, single point on PBEsol structure
# * formation energy from raw total energies: 300 meV/atom
# * raw total energy: -53.1460 eV per atom
# * size of the total moment: 0.00 μB/cell
data_ReHgSb2
_chemical_formula_sum 'Re2 Hg2 Sb4'
_space_group_name_H-M_alt 'C 1 2/m 1'
_space_group_IT_number 12
_cell_length_a 5.559
_cell_length_b 3.267
_cell_length_c 10.448
_cell_angle_alpha 90.00
_cell_angle_beta 103.51
_cell_angle_gamma 90.00
loop_
_space_group_symop_operation_xyz
'x,y,z'
'-x,-y,-z'
'-x,y,-z'
'x,-y,z'
'x+1/2,y+1/2,z'
'-x+1/2,-y+1/2,-z'
'-x+1/2,y+1/2,-z'
'x+1/2,-y+1/2,z'
loop_
_atom_site_label
_atom_site_type_symbol
_atom_site_fract_x
_atom_site_fract_y
_atom_site_fract_z
Re1 Re 0.000 0.000 0.000
Hg1 Hg 0.000 0.000 0.500
Sb1 Sb 0.079 0.500 0.805

---

Record 2
# SCAN ReHgSb3, single point on PBEsol structure
# * formation energy from raw total energies: 616 meV/atom
# * raw total energy: -49.5926 eV per atom
# * size of the total moment: 0.00 μB/cell
data_ReHgSb3
_chemical_formula_sum 'Re1 Hg1 Sb3'
_space_group_name_H-M_alt 'P m -3 m'
_space_group_IT_number 221
_space_group_name_Hall '-P 4 2 3'
_cell_length_a 5.150
_cell_length_b 5.150
_cell_length_c 5.150
_cell_angle_alpha 90.00
_cell_angle_beta 90.00
_cell_angle_gamma 90.00
loop_
_atom_site_label
_atom_site_type_symbol
_atom_site_fract_x
_atom_site_fract_y
_atom_site_fract_z
Re1 Re 0.000 0.000 0.000
Hg1 Hg 0.500 0.500 0.500
Sb1 Sb 0.000 0.000 0.500

---

Record 3
# SCAN YReHg2Sb, single point on PBEsol structure
# * formation energy from raw total energies: 1531 meV/atom
# * raw total energy: -52.9755 eV per atom
# * size of the total moment: 4.72 μB/cell
data_YReHg2Sb
_chemical_formula_sum 'Y1 Re1 Hg2 Sb1'
_space_group_name_H-M_alt 'P 4/m m m'
_space_group_IT_number 123
_space_group_name_Hall '-P 4 2'
_cell_length_a 5.526
_cell_length_b 5.526
_cell_length_c 5.647
_cell_angle_alpha 90.00
_cell_angle_beta 90.00
_cell_angle_gamma 90.00
loop_
_atom_site_label
_atom_site_type_symbol
_atom_site_fract_x
_atom_site_fract_y
_atom_site_fract_z
Y1 Y 0.000 0.000 0.000
Re1 Re 0.500 0.500 0.500
Hg1 Hg 0.000 0.500 0.000
Sb1 Sb 0.000 0.000 0.500

---

Record 4
# SCAN ScReHg3, single point on PBEsol structure
# * raw total energy: -57.1200 eV per atom
# * size of the total moment: 0.00 μB/cell
data_ScReHg3
_chemical_formula_sum 'Sc1 Re1 Hg3'
_space_group_name_H-M_alt 'P m -3 m'
_space_group_IT_number 221
_space_group_name_Hall '-P 4 2 3'
_cell_length_a 5.086
_cell_length_b 5.086
_cell_length_c 5.086
_cell_angle_alpha 90.00
_cell_angle_beta 90.00
_cell_angle_gamma 90.00
loop_
_atom_site_label
_atom_site_type_symbol
_atom_site_fract_x
_atom_site_fract_y
_atom_site_fract_z
Sc1 Sc 0.000 0.000 0.000
Re1 Re 0.500 0.500 0.500
Hg1 Hg 0.000 0.500 0.500

---

Record 5
# SCAN ReHg2Se, single point on PBEsol structure
# * formation energy from raw total energies: 826 meV/atom
# * raw total energy: -56.0509 eV per atom
# * size of the total moment: 0.00 μB/cell
data_ReHg2Se
_chemical_formula_sum 'Re2 Hg4 Se2'
_space_group_name_H-M_alt 'C m m m'
_space_group_IT_number 65
_space_group_name_Hall '-C 2 2'
_cell_length_a 2.849
_cell_length_b 5.002
_cell_length_c 10.788
_cell_angle_alpha 90.00
_cell_angle_beta 90.00
_cell_angle_gamma 90.00
loop_
_atom_site_label
_atom_site_type_symbol
_atom_site_fract_x
_atom_site_fract_y
_atom_site_fract_z
Re1 Re 0.000 0.000 0.000
Hg1 Hg 0.000 0.500 0.231
Se1 Se 0.000 0.000 0.500

---

Record 6
# SCAN ReHgSe3, single point on PBEsol structure
# * formation energy from raw total energies: 463 meV/atom
# * raw total energy: -39.4365 eV per atom
# * size of the total moment: 0.00 μB/cell
data_ReHgSe3
_chemical_formula_sum 'Re1 Hg1 Se3'
_space_group_name_H-M_alt 'P m -3 m'
_space_group_IT_number 221
_space_group_name_Hall '-P 4 2 3'
_cell_length_a 4.865
_cell_length_b 4.865
_cell_length_c 4.865
_cell_angle_alpha 90.00
_cell_angle_beta 90.00
_cell_angle_gamma 90.00
loop_
_atom_site_label
_atom_site_type_symbol
_atom_site_fract_x
_atom_site_fract_y
_atom_site_fract_z
Re1 Re 0.000 0.000 0.000
Hg1 Hg 0.500 0.500 0.500
Se1 Se 0.000 0.000 0.500

---

Record 7
# SCAN ReHg2Se, single point on PBEsol structure
# * formation energy from raw total energies: 1118 meV/atom
# * raw total energy: -55.7593 eV per atom
# * size of the total moment: 2.26 μB/cell
data_ReHg2Se
_chemical_formula_sum 'Re1 Hg2 Se1'
_space_group_name_H-M_alt 'P 4/m m m'
_space_group_IT_number 123
_space_group_name_Hall '-P 4 2'
_cell_length_a 4.035
_cell_length_b 4.035
_cell_length_c 4.517
_cell_angle_alpha 90.00
_cell_angle_beta 90.00
_cell_angle_gamma 90.00
loop_
_atom_site_label
_atom_site_type_symbol
_atom_site_fract_x
_atom_site_fract_y
_atom_site_fract_z
Re1 Re 0.000 0.000 0.000
Hg1 Hg 0.000 0.500 0.500
Se1 Se 0.500 0.500 0.000

---

Record 8
# SCAN ReHg2Se, single point on PBEsol structure
# * formation energy from raw total energies: 532 meV/atom
# * raw total energy: -56.3446 eV per atom
# * size of the total moment: 0.00 μB/cell
data_ReHg2Se
_chemical_formula_sum 'Re2 Hg4 Se2'
_space_group_name_H-M_alt 'C m m 2'
_space_group_IT_number 35
_cell_length_a 2.980
_cell_length_b 5.074
_cell_length_c 10.655
_cell_angle_alpha 90.00
_cell_angle_beta 90.00
_cell_angle_gamma 90.00
loop_
_space_group_symop_operation_xyz
'x,y,z'
'-x,-y,z'
'-x,y,z'
'x,-y,z'
'x+1/2,y+1/2,z'
'-x+1/2,-y+1/2,z'
'-x+1/2,y+1/2,z'
'x+1/2,-y+1/2,z'
loop_
_atom_site_label
_atom_site_type_symbol
_atom_site_fract_x
_atom_site_fract_y
_atom_site_fract_z
Re1 Re 0.000 0.000 0.000
Hg1 Hg 0.000 0.000 0.494
Hg2 Hg 0.000 0.500 0.767
Se1 Se 0.000 0.500 0.181

---

Record 9
# SCAN ReHgSe2, single point on PBEsol structure
# * formation energy from raw total energies: 331 meV/atom
# * raw total energy: -44.5237 eV per atom
# * size of the total moment: 0.00 μB/cell
data_ReHgSe2
_chemical_formula_sum 'Re2 Hg2 Se4'
_space_group_name_H-M_alt 'I m m m'
_space_group_IT_number 71
_space_group_name_Hall '-I 2 2'
_cell_length_a 2.889
_cell_length_b 4.951
_cell_length_c 11.241
_cell_angle_alpha 90.00
_cell_angle_beta 90.00
_cell_angle_gamma 90.00
loop_
_atom_site_label
_atom_site_type_symbol
_atom_site_fract_x
_atom_site_fract_y
_atom_site_fract_z
Re1 Re 0.000 0.000 0.000
Hg1 Hg 0.000 0.000 0.500
Se1 Se 0.000 0.500 0.317

---

Record 10
# SCAN ReSi2Hg, single point on PBEsol structure
# * formation energy from raw total energies: 933 meV/atom
# * raw total energy: -38.8904 eV per atom
# * size of the total moment: 0.00 μB/cell
data_ReSi2Hg
_chemical_formula_sum 'Re1 Si2 Hg1'
_space_group_name_H-M_alt 'P m m m'
_space_group_IT_number 47
_cell_length_a 3.055
_cell_length_b 4.256
_cell_length_c 4.874
_cell_angle_alpha 90.00
_cell_angle_beta 90.00
_cell_angle_gamma 90.00
loop_
_space_group_symop_operation_xyz
'x,y,z'
'-x,-y,-z'
'-x,-y,z'
'x,y,-z'
'x,-y,-z'
'-x,y,z'
'-x,y,-z'
'x,-y,z'
loop_
_atom_site_label
_atom_site_type_symbol
_atom_site_fract_x
_atom_site_fract_y
_atom_site_fract_z
Re1 Re 0.000 0.000 0.000
Si1 Si 0.000 0.500 0.500
Si2 Si 0.500 0.500 0.000
Hg1 Hg 0.500 0.000 0.500

---

Record 11
# SCAN Re2SiHg, single point on PBEsol structure
# * formation energy from raw total energies: 852 meV/atom
# * energy above the lowest structure with this stoichiometry: 306 meV/atom
# * raw total energy: -54.2419 eV per atom
# * size of the total moment: 0.00 μB/cell
data_Re2SiHg
_chemical_formula_sum 'Re4 Si2 Hg2'
_space_group_name_H-M_alt 'C 1 2/m 1'
_space_group_IT_number 12
_cell_length_a 5.566
_cell_length_b 8.965
_cell_length_c 2.812
_cell_angle_alpha 90.00
_cell_angle_beta 117.30
_cell_angle_gamma 90.00
loop_
_space_group_symop_operation_xyz
'x,y,z'
'-x,-y,-z'
'-x,y,-z'
'x,-y,z'
'x+1/2,y+1/2,z'
'-x+1/2,-y+1/2,-z'
'-x+1/2,y+1/2,-z'
'x+1/2,-y+1/2,z'
loop_
_atom_site_label
_atom_site_type_symbol
_atom_site_fract_x
_atom_site_fract_y
_atom_site_fract_z
Re1 Re 0.250 0.250 0.000
Si1 Si 0.000 0.000 0.500
Hg1 Hg 0.000 0.500 0.500

---

Record 12
# SCAN Re2SiHg, single point on PBEsol structure
# * formation energy from raw total energies: 546 meV/atom
# * energy above the lowest structure with this stoichiometry: 0 meV/atom
# * raw total energy: -54.5480 eV per atom
# * size of the total moment: 0.00 μB/cell
data_Re2SiHg
_chemical_formula_sum 'Re2 Si1 Hg1'
_space_group_name_H-M_alt 'P 1 2/m 1'
_space_group_IT_number 10
_cell_length_a 2.904
_cell_length_b 3.929
_cell_length_c 5.544
_cell_angle_alpha 90.00
_cell_angle_beta 102.53
_cell_angle_gamma 90.00
loop_
_space_group_symop_operation_xyz
'x,y,z'
'-x,-y,-z'
'-x,y,-z'
'x,-y,z'
loop_
_atom_site_label
_atom_site_type_symbol
_atom_site_fract_x
_atom_site_fract_y
_atom_site_fract_z
Re1 Re 0.135 0.000 0.288
Si1 Si 0.500 0.500 0.500
Hg1 Hg 0.500 0.500 0.000

---

Record 13
# SCAN ReSi2Hg, single point on PBEsol structure
# * formation energy from raw total energies: 1121 meV/atom
# * raw total energy: -38.7027 eV per atom
# * size of the total moment: 0.02 μB/cell
data_ReSi2Hg
_chemical_formula_sum 'Re4 Si8 Hg4'
_space_group_name_H-M_alt 'F -4 3 m'
_space_group_IT_number 216
_space_group_name_Hall 'F -4 2 3'
_cell_length_a 6.341
_cell_length_b 6.341
_cell_length_c 6.341
_cell_angle_alpha 90.00
_cell_angle_beta 90.00
_cell_angle_gamma 90.00
loop_
_atom_site_label
_atom_site_type_symbol
_atom_site_fract_x
_atom_site_fract_y
_atom_site_fract_z
Re1 Re 0.000 0.000 0.000
Si1 Si 0.000 0.000 0.500
Si2 Si 0.250 0.250 0.750
Hg1 Hg 0.250 0.250 0.250

---

Record 14
# SCAN ReSi2Hg, single point on PBEsol structure
# * formation energy from raw total energies: 466 meV/atom
# * raw total energy: -39.3577 eV per atom
# * size of the total moment: 0.00 μB/cell
data_ReSi2Hg
_chemical_formula_sum 'Re2 Si4 Hg2'
_space_group_name_H-M_alt 'C m m m'
_space_group_IT_number 65
_space_group_name_Hall '-C 2 2'
_cell_length_a 3.075
_cell_length_b 4.663
_cell_length_c 9.855
_cell_angle_alpha 90.00
_cell_angle_beta 90.00
_cell_angle_gamma 90.00
loop_
_atom_site_label
_atom_site_type_symbol
_atom_site_fract_x
_atom_site_fract_y
_atom_site_fract_z
Re1 Re 0.000 0.000 0.000
Si1 Si 0.000 0.500 0.197
Hg1 Hg 0.000 0.000 0.500

---

Record 15
# SCAN ReSiHg2, single point on PBEsol structure
# * formation energy from raw total energies: 448 meV/atom
# * raw total energy: -53.9136 eV per atom
# * size of the total moment: 0.00 μB/cell
data_ReSiHg2
_chemical_formula_sum 'Re3 Si3 Hg6'
_space_group_name_H-M_alt 'R 3 m'
_space_group_IT_number 160
_space_group_name_Hall 'R 3 -2"'
_cell_length_a 3.0296
_cell_length_b 3.0296
_cell_length_c 26.6000
_cell_angle_alpha 90.00
_cell_angle_beta 90.00
_cell_angle_gamma 120.00
loop_
_atom_site_label
_atom_site_type_symbol
_atom_site_fract_x
_atom_site_fract_y
_atom_site_fract_z
Re1 Re 0.0000 0.0000 0.0000
Si1 Si 0.0000 0.0000 0.7294
Hg1 Hg 0.0000 0.0000 0.2450
Hg2 Hg 0.0000 0.0000 0.4826